DFT (GGA-PBE) results for Mg3Hg2Rh after structural relaxation.

## Properties
E_form in meV per atom: -323
Total magnetic moment in Bohr magnetons per cell: 0.0

a b c (Å): 7.206 7.206 7.307
angles (deg): 90.00 90.00 143.22
Fractional positions:
Hg: 0.000 0.000 0.000
Mg: 0.500 0.500 0.766
Mg: 0.175 0.825 0.786
Mg: 0.175 0.825 0.214
Hg: 0.333 0.667 0.500
Hg: 0.000 0.000 0.500
Rh: 0.339 0.661 0.000
Mg: 0.825 0.175 0.786
Hg: 0.667 0.333 0.500
Mg: 0.500 0.500 0.234
Mg: 0.825 0.175 0.214
Rh: 0.661 0.339 0.000